[1]
Computed, not measured: a geometry-optimized Ac4HgGe2 structure at the GGA-PBE level of DFT.

```
14
Lattice="8.442 -1.093 -0.168 -1.705 8.345 0.166 -3.247 -3.741 6.929" Properties=species:S:1:pos:R:3 pbc="T T T"
Ac 6.046 0.266 1.635
Ac 2.597 5.211 4.242
Ac 1.751 -0.759 2.680
Hg 3.491 3.513 6.921
Ge 3.203 2.091 2.582
Ac -3.419 2.309 5.288
Ge -1.396 -0.390 4.345
Ge 2.854 -0.967 6.006
Ge 2.316 6.291 0.924
Ac 0.868 3.441 0.781
Hg -0.789 4.109 3.550
Ac 5.196 4.438 1.709
Ac 0.118 -2.624 6.145
Ac 0.803 1.764 5.229
```

Properties
**Uncorrected energy**: -4.260 eV per atom
**Formation enthalpy at 0 K**: -0.55 eV/atom

---

[2]
Computed, not measured: a geometry-optimized NiAuC structure at the GGA-PBE level of DFT.

```
3
Lattice="-1.644 -1.366 1.853 2.214 -1.563 0.812 0.988 3.009 3.096" Properties=species:S:1:pos:R:3 pbc="T T T"
C 0.494 1.504 1.548
Au 0.000 0.000 0.000
Ni 0.779 0.040 2.880
```

Properties
**Polymorph energy (0 for the lowest one)**: 6.8 kJ per mole of atoms
**Uncorrected energy**: -5.333 eV per atom
**Formation enthalpy at 0 K**: 0.76 eV/atom

---

[3]
Computed, not measured: a geometry-optimized LiTe4H4O6F8 structure at the GGA-PBE level of DFT.

```
23
Lattice="5.537 -0.140 0.035 2.593 5.651 0.143 2.313 0.289 11.299" Properties=species:S:1:pos:R:3 pbc="T T T"
Te 5.704 4.401 6.881
Te 6.697 1.521 10.549
Te 7.221 4.168 1.636
F 3.710 0.273 2.049
Te 5.975 1.534 4.394
O 2.479 0.372 7.803
O 6.706 3.753 8.414
O 9.915 5.439 11.248
F 5.426 0.519 9.171
H 2.502 1.506 2.944
H 3.747 4.365 2.974
O 6.382 2.332 6.048
F 7.417 5.666 6.531
F 1.725 0.222 4.901
F 5.848 2.078 0.331
H 7.206 4.513 8.804
H 3.110 1.100 7.616
F 5.278 3.363 3.721
F 4.168 3.444 7.652
F 3.130 3.164 0.853
O 1.984 2.277 3.289
Li 6.188 0.852 7.410
O 3.078 5.046 2.713
```

Properties
**Polymorph energy (0 for the lowest one)**: 0.9 kJ per mole of atoms
**Uncorrected energy**: -4.712 eV per atom

---

[4]
Computed, not measured: a geometry-optimized CeWN structure at the GGA-PBE level of DFT.

```
6
Lattice="2.954 0.000 0.000 -1.477 3.711 0.000 0.000 0.000 8.750" Properties=species:S:1:pos:R:3 pbc="T T T"
W 1.477 1.831 2.188
N 0.000 3.396 2.188
Ce 0.000 0.000 4.375
Ce 0.000 0.000 0.000
N 1.477 0.315 6.563
W 0.000 1.881 6.563
```

Properties
**Uncorrected energy**: -9.260 eV per atom
**Formation energy from raw total energies**: -189.1 meV per atom

---

[5]
Computed, not measured: a geometry-optimized Mn2RuAu structure at the GGA-PBE level of DFT.

```
4
Lattice="4.940 -0.030 0.147 4.070 2.799 0.147 1.123 0.345 4.375" Properties=species:S:1:pos:R:3 pbc="T T T"
Mn 2.546 0.782 1.412
Ru 5.088 1.564 2.055
Au 7.632 2.346 3.720
Mn 10.069 3.095 4.486
```

Properties
**Uncorrected energy**: -7.518 eV per atom
**Formation enthalpy at 0 K**: 0.20 eV/atom

---

[6]
Computed, not measured: a geometry-optimized Tb2Tl3 structure at the GGA-PBE level of DFT.

```
10
Lattice="4.558 0.000 0.000 0.000 7.788 0.000 0.000 0.000 7.788" Properties=species:S:1:pos:R:3 pbc="T T T"
Tl 0.000 6.383 4.712
Tl 0.000 4.712 1.405
Tb 2.279 6.784 2.374
Tl 0.000 3.076 6.383
Tb 2.279 1.004 5.414
Tb 2.279 2.374 1.004
Tb 2.279 5.414 6.784
Tl 0.000 0.000 0.000
Tl 0.000 1.405 3.076
Tl 2.279 3.894 3.894
```

Properties
**Polymorph energy (0 for the lowest one)**: 0.0 kJ per mole of atoms
**Uncorrected energy**: -3.571 eV per atom
**Formation enthalpy at 0 K**: -0.30 eV/atom

---

What is the uncorrected energy in the sixth record? -3.571 eV per atom

---

Which of these has the highest uncorrected energy? Tb2Tl3